DFT (PBE-GGA) results for K2Ho4S3O2 after structural relaxation.

Lattice parameters (Å, degrees): 4.5243 4.5243 23.4976 90.00 90.00 90.00
With the nearest neighbours (Å) after each atom.
Space group I4/mmm (No. 139)
Unique sites:
K (0.0000, 0.0000, 0.2024) [4 per cell]  1 O 2.59
Ho (0.0000, 0.5000, 0.0733) [8 per cell]  2 O 2.30
S (0.0000, 0.0000, 0.3477) [4 per cell]  4 Ho 2.93
S (0.0000, 0.0000, 0.5000) [2 per cell]  8 Ho 2.84
O (0.0000, 0.0000, 0.0920) [4 per cell]  4 Ho 2.30

Output
- Formation energy from raw total energies: -1.8537 eV per atom